[1]
## Tl2AgIr (PBE)

Data for a relaxed structure of Tl2AgIr.

Values from the calculation:
**E above lowest polymorph**: 0.261 eV per atom
**ΔH_f (0 K)**: 0.58 eV/atom
**Space-group type**: I-42d (122)

Structure (POSCAR):
```
Tl2AgIr
1.0
7.835 0.000 0.000
0.000 7.835 0.000
3.917 3.917 2.980
Tl Ag Ir
4 2 2
direct
0.655 0.125 0.250
0.875 0.905 0.750
0.095 0.625 0.250
0.375 0.345 0.750
0.500 0.500 0.000
0.250 0.750 0.500
0.000 0.000 0.000
0.750 0.250 0.500
```

=====

[2]
## AlSbSeBr2 (PBE)

Data for a relaxed structure of AlSbSeBr2.

Values from the calculation:
**Formation energy (no corrections)**: -0.54 eV per formula unit
**E above lowest polymorph**: 0.000 eV per atom
**Space-group type**: P4/mmm (123)

Structure (POSCAR):
```
AlSbSeBr2
1.0
4.993 0.000 0.000
0.000 4.993 0.000
0.000 0.000 5.159
Br Se Sb Al
2 1 1 1
direct
0.500 0.000 0.000
0.000 0.500 0.000
0.000 0.000 0.500
0.500 0.500 0.500
0.000 0.000 0.000
```

=====

[3]
## KNaPaCl6 (PBE)

Data for a relaxed structure of KNaPaCl6.

Values from the calculation:
**Formation energy (no corrections)**: -17.45 eV per formula unit
**Space-group type**: P-31c (163)

Structure (POSCAR):
```
KNaPaCl6
1.0
7.199 0.000 0.000
-3.600 6.235 0.000
0.000 0.000 13.656
Cl K Na Pa
12 2 2 2
direct
0.980 0.352 0.139
0.352 0.373 0.861
0.373 0.352 0.361
0.020 0.648 0.861
0.648 0.020 0.361
0.352 0.980 0.639
0.627 0.648 0.639
0.627 0.980 0.861
0.648 0.627 0.139
0.980 0.627 0.361
0.020 0.373 0.639
0.373 0.020 0.139
0.000 0.000 0.000
0.000 0.000 0.500
0.333 0.667 0.250
0.667 0.333 0.750
0.333 0.667 0.750
0.667 0.333 0.250
```

=====

[4]
## Rb2As (PBE)

Data for a relaxed structure of Rb2As.

Values from the calculation:
**E above lowest polymorph**: 0.000 eV per atom
**ΔH_f (0 K)**: -0.23 eV/atom
**Space-group type**: C2/m (12)

Structure (POSCAR):
```
Rb2As
1.0
4.445 0.000 0.000
2.222 8.547 -0.297
2.222 3.004 9.056
As Rb
2 4
direct
0.219 0.584 0.978
0.781 0.416 0.022
0.785 0.740 0.690
0.215 0.260 0.310
0.537 0.733 0.193
0.463 0.267 0.807
```

=====

[5]
## BaNbH (PBE)

Data for a relaxed structure of BaNbH.

Values from the calculation:
**E above lowest polymorph**: 0.349 eV per atom
**Space-group type**: Pnma (62)

Structure (POSCAR):
```
BaNbH
1.0
-0.153 -6.075 -2.359
-0.458 -1.140 2.966
-12.391 0.919 -1.560
Ba Nb H
4 4 4
direct
0.091 0.750 0.649
0.591 0.750 0.851
0.409 0.250 0.149
0.909 0.250 0.351
0.913 0.250 0.072
0.087 0.750 0.928
0.413 0.250 0.428
0.587 0.750 0.572
0.532 0.750 0.334
0.032 0.750 0.166
0.468 0.250 0.666
0.968 0.250 0.834
```

=====

[6]
## Mg6Zn3Au (PBE)

Data for a relaxed structure of Mg6Zn3Au.

Values from the calculation:
**ΔH_f (0 K)**: -0.21 eV/atom
**Space-group type**: P2_1/m (11)

Structure (POSCAR):
```
Mg6Zn3Au
1.0
4.507 0.000 0.000
0.000 7.899 -2.875
0.000 -0.209 10.737
Mg Zn Au
12 6 2
direct
0.750 0.432 0.396
0.750 0.929 0.074
0.250 0.851 0.242
0.250 0.212 0.236
0.250 0.568 0.604
0.250 0.153 0.519
0.750 0.540 0.928
0.250 0.460 0.072
0.250 0.071 0.926
0.750 0.149 0.758
0.750 0.788 0.764
0.750 0.847 0.481
0.750 0.265 0.070
0.250 0.735 0.930
0.250 0.607 0.359
0.250 0.382 0.784
0.750 0.618 0.216
0.750 0.393 0.641
0.250 0.916 0.654
0.750 0.084 0.346
```

=====

[7]
## SrBeIn (PBE)

Data for a relaxed structure of SrBeIn.

Values from the calculation:
**E above lowest polymorph**: 0.179 eV per atom
**ΔH_f (0 K)**: 0.17 eV/atom
**Space-group type**: F-43m (216)

Structure (POSCAR):
```
SrBeIn
1.0
4.842 0.000 0.000
2.421 4.193 0.000
2.421 1.398 3.953
Be Sr In
1 1 1
direct
0.750 0.750 0.750
0.500 0.500 0.500
0.000 0.000 0.000
```

=====

[8]
## La2Pm7Y (PBE)

Data for a relaxed structure of La2Pm7Y.

Values from the calculation:
**E above lowest polymorph**: 0.000 eV per atom
**ΔH_f (0 K)**: 0.14 eV/atom
**Space-group type**: Cmmm (65)

Structure (POSCAR):
```
La2Pm7Y
1.0
-0.683 0.355 -3.430
14.779 -1.258 -3.073
-13.973 -5.409 2.222
Pm La Y
7 2 1
direct
0.000 0.187 0.813
0.500 0.146 0.342
0.500 0.658 0.854
0.500 0.500 0.500
0.500 0.854 0.658
0.000 0.813 0.187
0.500 0.342 0.146
0.500 0.296 0.704
0.500 0.704 0.296
0.000 0.000 0.000
```

=====

[9]
## NbTl2TeIr (PBE)

Data for a relaxed structure of NbTl2TeIr.

Values from the calculation:
**Formation energy (no corrections)**: 4.76 eV per formula unit
**Space-group type**: P4/mmm (123)

Structure (POSCAR):
```
NbTl2TeIr
1.0
5.173 0.000 0.000
0.000 5.477 0.000
0.000 0.000 5.173
Te Tl Nb Ir
1 2 1 1
direct
0.000 0.500 0.000
0.000 0.000 0.500
0.500 0.000 0.000
0.500 0.500 0.500
0.000 0.000 0.000
```

=====

[10]
## Sm4Si3Pd (PBE)

Data for a relaxed structure of Sm4Si3Pd.

Values from the calculation:
**Formation energy (no corrections)**: -6.11 eV per formula unit
**Space-group type**: Pmm2 (25)

Structure (POSCAR):
```
Sm4Si3Pd
1.0
4.303 0.000 0.000
0.000 3.996 0.000
0.000 0.000 11.016
Sm Si Pd
4 3 1
direct
0.500 0.500 0.361
0.000 0.500 0.858
0.000 0.000 0.137
0.500 0.000 0.642
0.000 0.000 0.433
0.000 0.500 0.572
0.500 0.000 0.922
0.500 0.500 0.074
```

=====

[11]
## Li2Tl2Cu (PBE)

Data for a relaxed structure of Li2Tl2Cu.

Values from the calculation:
**E above lowest polymorph**: 0.020 eV per atom
**ΔH_f (0 K)**: 0.03 eV/atom
**Space-group type**: P4/mbm (127)

Structure (POSCAR):
```
Li2Tl2Cu
1.0
6.985 0.000 0.000
0.000 6.985 0.000
0.000 0.000 3.995
Li Tl Cu
4 4 2
direct
0.141 0.359 0.000
0.859 0.641 0.000
0.641 0.141 0.000
0.359 0.859 0.000
0.831 0.331 0.500
0.331 0.169 0.500
0.169 0.669 0.500
0.669 0.831 0.500
0.000 0.000 0.000
0.500 0.500 0.000
```

=====

[12]
## PmNdDy3 (PBE)

Data for a relaxed structure of PmNdDy3.

Values from the calculation:
**E above lowest polymorph**: 0.137 eV per atom
**ΔH_f (0 K)**: 0.31 eV/atom
**Space-group type**: P2_1/m (11)

Structure (POSCAR):
```
PmNdDy3
1.0
-3.411 0.820 0.959
-0.375 -8.581 -0.903
2.846 -1.307 11.242
Nd Dy Pm
2 6 2
direct
0.313 0.124 0.250
0.687 0.876 0.750
0.348 0.200 0.750
0.156 0.813 0.498
0.844 0.187 0.998
0.652 0.800 0.250
0.844 0.187 0.502
0.156 0.813 0.002
0.989 0.471 0.250
0.011 0.529 0.750
```